# Mn2Fe3H2

Mn2Fe3H2 after structural relaxation (GGA-PBE, Alexandria via LeMat-Bulk).

## Properties
E_tot   -7.04 eV per atom

Geometry as CIF:
```
data_Mn2Fe3H2
_space_group_name_H-M_alt 'C 1 2/m 1'
_space_group_IT_number 12
_space_group_name_Hall '-C 2y'
_cell_length_a 8.2627
_cell_length_b 2.5068
_cell_length_c 6.4250
_cell_angle_alpha 90.00
_cell_angle_beta 112.07
_cell_angle_gamma 90.00
loop_
_atom_site_label
_atom_site_type_symbol
_atom_site_fract_x
_atom_site_fract_y
_atom_site_fract_z
Mn1 Mn 0.1766 0.0000 0.2891
Fe1 Fe 0.0000 0.5000 0.5000
Fe2 Fe 0.1135 0.5000 0.9303
H1 H 0.0498 0.0000 0.7101
```

=====

# Mn3FeH3

Mn3FeH3 after structural relaxation (GGA-PBE, Alexandria via LeMat-Bulk).

## Properties
E_tot   -6.52 eV per atom

Geometry as CIF:
```
data_Mn3FeH3
_space_group_name_H-M_alt 'R -3'
_space_group_IT_number 148
_space_group_name_Hall '-R 3'
_cell_length_a 4.3859
_cell_length_b 4.3859
_cell_length_c 18.9097
_cell_angle_alpha 90.00
_cell_angle_beta 90.00
_cell_angle_gamma 120.00
loop_
_atom_site_label
_atom_site_type_symbol
_atom_site_fract_x
_atom_site_fract_y
_atom_site_fract_z
Mn1 Mn 0.0007 0.6514 0.1165
Fe1 Fe 0.0000 0.0000 0.3336
H1 H 0.0014 0.6774 0.9443
```

=====

# Mn6FeH

Mn6FeH after structural relaxation (GGA-PBE, Alexandria via LeMat-Bulk).

## Properties
E_tot   -8.28 eV per atom

Geometry as CIF:
```
data_Mn6FeH
_space_group_name_H-M_alt 'P -1'
_space_group_IT_number 2
_space_group_name_Hall '-P 1'
_cell_length_a 4.3214
_cell_length_b 4.3223
_cell_length_c 4.3233
_cell_angle_alpha 99.67
_cell_angle_beta 99.67
_cell_angle_gamma 99.50
loop_
_atom_site_label
_atom_site_type_symbol
_atom_site_fract_x
_atom_site_fract_y
_atom_site_fract_z
Mn1 Mn 0.0706 0.2809 0.1314
Mn2 Mn 0.2184 0.8693 0.4295
Mn3 Mn 0.3683 0.4293 0.7190
Fe1 Fe 0.5000 0.0000 0.0000
H1 H 0.0000 0.5000 0.5000
```

=====

# Mn3Fe5H12

Mn3Fe5H12 after structural relaxation (GGA-PBE, Alexandria via LeMat-Bulk).

## Properties
E_tot   -5.44 eV per atom

Geometry as CIF:
```
data_Mn3Fe5H12
_space_group_name_H-M_alt 'I a -3 d'
_space_group_IT_number 230
_space_group_name_Hall '-I 4bd 2c 3'
_cell_length_a 10.1852
_cell_length_b 10.1852
_cell_length_c 10.1852
_cell_angle_alpha 90.00
_cell_angle_beta 90.00
_cell_angle_gamma 90.00
loop_
_atom_site_label
_atom_site_type_symbol
_atom_site_fract_x
_atom_site_fract_y
_atom_site_fract_z
Mn1 Mn 0.0000 0.2500 0.1250
Fe1 Fe 0.0000 0.0000 0.0000
Fe2 Fe 0.0000 0.2500 0.3750
H1 H 0.0123 0.0676 0.6506
```

=====

# MnFe5H6

MnFe5H6 after structural relaxation (GGA-PBE, Alexandria via LeMat-Bulk).

## Properties
E_tot   -5.96 eV per atom

Geometry as CIF:
```
data_MnFe5H6
_space_group_name_H-M_alt 'C 1 2/m 1'
_space_group_IT_number 12
_space_group_name_Hall '-C 2y'
_cell_length_a 4.6207
_cell_length_b 7.9821
_cell_length_c 4.6267
_cell_angle_alpha 90.00
_cell_angle_beta 109.47
_cell_angle_gamma 90.00
loop_
_atom_site_label
_atom_site_type_symbol
_atom_site_fract_x
_atom_site_fract_y
_atom_site_fract_z
Mn1 Mn 0.0000 0.0000 0.0000
Fe1 Fe 0.0000 0.1681 0.5000
Fe2 Fe 0.0000 0.3333 0.0000
Fe3 Fe 0.0000 0.5000 0.5000
H1 H 0.2490 0.1660 0.2469
H2 H 0.2488 0.5000 0.2450
```

=====

# Mn2Fe5H2

Mn2Fe5H2 after structural relaxation (GGA-PBE, Alexandria via LeMat-Bulk).

## Properties
E_tot   -7.37 eV per atom

Geometry as CIF:
```
data_Mn2Fe5H2
_space_group_name_H-M_alt 'C 1 2/m 1'
_space_group_IT_number 12
_space_group_name_Hall '-C 2y'
_cell_length_a 8.6608
_cell_length_b 3.9528
_cell_length_c 5.0130
_cell_angle_alpha 90.00
_cell_angle_beta 93.26
_cell_angle_gamma 90.00
loop_
_atom_site_label
_atom_site_type_symbol
_atom_site_fract_x
_atom_site_fract_y
_atom_site_fract_z
Mn1 Mn 0.0660 0.0000 0.2857
Fe1 Fe 0.0000 0.5000 0.0000
Fe2 Fe 0.1356 0.5000 0.5573
Fe3 Fe 0.2122 0.0000 0.8352
H1 H 0.2491 0.5000 0.8348
```

=====

| no. | volume (A^3/atom) |
| --- | --- |
| 1 | 8.8 |
| 2 | 7.5 |
| 3 | 9.6 |
| 4 | 6.6 |
| 5 | 6.7 |
| 6 | 9.5 |